Compound: AlAsSe2O
Source: Alexandria via LeMat-Bulk
Functional: GGA-PBE
Structure: optimized geometry

Values from the calculation:
As for the magnetization: 0.00 μB/atom. For the total energy, the calculation gives -3.7118 eV per atom. The value obtained for the formation energy (no corrections) is 0.35 eV per atom.

abc: 4.457 4.457 4.491
angles: 90.00 90.00 90.00
Sites, in units of the cell vectors:
Al 0.500 0.500 0.500
As 0.000 0.000 0.500
O 0.000 0.000 0.000
Se 0.000 0.500 0.000
Se 0.500 0.000 0.000

=====

Compound: Ti3Re2Ru
Source: Alexandria via LeMat-Bulk
Functional: GGA-PBE
Structure: optimized geometry

Values from the calculation:
As for the magnetization: 0.00 μB/atom. For the total energy, the calculation gives -10.1673 eV per atom. For the formation energy, the calculation gives -12.10 kcal/mol of atoms.

abc: 3.102 3.102 9.343
angles: 90.00 90.00 90.00
Sites, in units of the cell vectors:
Ti 0.000 0.000 0.665
Ti 0.000 0.000 0.335
Ru 0.500 0.500 0.500
Re 0.500 0.500 0.168
Ti 0.000 0.000 0.000
Re 0.500 0.500 0.832

=====

Compound: ScAuSe2
Source: Alexandria via LeMat-Bulk
Functional: GGA-PBE
Structure: optimized geometry

Values from the calculation:
As for the magnetization: 0.00 μB/atom. For the total energy, the calculation gives -5.0653 eV per atom. The value obtained for the formation energy (no corrections) is -0.92 eV per atom.

abc: 8.861 4.033 4.033
angles: 121.66 126.67 53.33
Sites, in units of the cell vectors:
Au 0.000 0.000 0.000
Sc 0.500 0.500 0.500
Se 0.269 0.373 0.627
Se 0.731 0.627 0.373

=====

Compound: Fe2NiRu
Source: Alexandria via LeMat-Bulk
Functional: GGA-PBE
Structure: optimized geometry

Values from the calculation:
As for the magnetization: 1.07 μB/atom. For the total energy, the calculation gives -7.9157 eV per atom. For the formation energy, the calculation gives 1.84 kcal/mol of atoms.

abc: 4.432 4.432 4.432
angles: 131.78 131.78 70.57
Sites, in units of the cell vectors:
Fe 0.500 0.500 0.000
Ni 0.750 0.250 0.500
Fe 0.000 0.000 0.000
Ru 0.250 0.750 0.500

=====

Compound: ZnHgPtAu2
Source: Alexandria via LeMat-Bulk
Functional: GGA-PBE
Structure: optimized geometry

Values from the calculation:
As for the magnetization: 0.00 μB/atom. For the total energy, the calculation gives -1.7663 eV per atom. For the formation energy, the calculation gives 24.63 kcal/mol of atoms.

abc: 5.142 4.797 5.142
angles: 90.00 90.00 90.00
Sites, in units of the cell vectors:
Hg 0.000 0.000 0.000
Au 0.500 0.000 0.000
Pt 0.500 0.500 0.500
Zn 0.000 0.500 0.000
Au 0.000 0.000 0.500

=====

Compound: GaSeN2O
Source: Alexandria via LeMat-Bulk
Functional: GGA-PBE
Structure: optimized geometry

Values from the calculation:
As for the magnetization: 0.30 μB/atom. For the total energy, the calculation gives -4.4431 eV per atom. The value obtained for the formation energy (no corrections) is 1.18 eV per atom.

abc: 4.002 4.002 3.749
angles: 90.00 90.00 90.00
Sites, in units of the cell vectors:
Ga 0.000 0.000 0.000
N 0.000 0.500 0.000
O 0.000 0.000 0.500
N 0.500 0.000 0.000
Se 0.500 0.500 0.500

=====

Compound: KCuAg2
Source: Alexandria via LeMat-Bulk
Functional: GGA-PBE
Structure: optimized geometry

Values from the calculation:
As for the magnetization: 0.00 μB/atom. For the total energy, the calculation gives -2.4863 eV per atom. For the formation energy, the calculation gives 5.48 kcal/mol of atoms.

abc: 2.979 4.125 7.425
angles: 90.00 90.00 90.00
Sites, in units of the cell vectors:
K 0.500 0.500 0.740
Ag 0.500 0.500 0.279
Cu 0.000 0.000 0.416
Ag 0.000 0.000 0.066

=====

Compound: Dy3Sn4
Source: Alexandria via LeMat-Bulk
Functional: GGA-PBE
Structure: optimized geometry

Values from the calculation:
As for the magnetization: 0.00 μB/atom. For the total energy, the calculation gives -4.9135 eV per atom. For the formation energy, the calculation gives -15.08 kcal/mol of atoms.

abc: 4.338 6.121 15.514
angles: 89.99 90.00 110.75
Sites, in units of the cell vectors:
Sn 0.629 0.257 0.893
Sn 0.374 0.748 0.108
Sn 0.628 0.257 0.608
Sn 0.001 0.002 0.500
Dy 0.665 0.329 0.098
Sn 0.001 0.003 0.000
Sn 0.799 0.597 0.750
Sn 0.374 0.747 0.393
Dy 0.338 0.676 0.902
Dy 0.938 0.875 0.250
Sn 0.204 0.407 0.250
Dy 0.338 0.675 0.598
Dy 0.065 0.129 0.750
Dy 0.664 0.329 0.402